No. 1
The following is a GGA-PBE calculation of crystalline SmMg2I6 at its relaxed geometry, from Alexandria.

## Properties
The calculation puts the final energy at -2.898 eV/atom. The calculation puts the formation energy without anion corrections at -986 meV per atom.

Lattice parameters (Å, degrees): 9.1652 9.1652 9.1652 51.68 51.68 51.68
Last column: nearest neighbours and their distance in Å.
Atoms (fractional coordinates):
Sm (0.0000, 0.0000, 0.0000)  6 I 3.13
Mg (0.6063, 0.6063, 0.6063)  3 I 2.78, 1 Mg 2.94
Mg (0.7299, 0.7299, 0.7299)  3 I 2.78, 1 Mg 2.94
I (0.0775, 0.7759, 0.3912)  1 Mg 2.78
I (0.2286, 0.6148, 0.9113)  1 Mg 2.78
I (0.3912, 0.0775, 0.7759)  1 Mg 2.78
I (0.6148, 0.9113, 0.2286)  1 Mg 2.78
I (0.7759, 0.3912, 0.0775)  1 Mg 2.78
I (0.9113, 0.2286, 0.6148)  1 Mg 2.78



No. 2
The following is a GGA-PBE calculation of crystalline GdTmScPa at its relaxed geometry, from Alexandria.

## Properties
Its formation enthalpy at 0 K is 1.20 eV per formula unit. The calculation puts the final energy at -8.295 eV/atom.

Lattice parameters (Å, degrees): 5.4021 5.4021 5.4021 60.00 60.00 60.00
Last column: nearest neighbours and their distance in Å.
Atoms (fractional coordinates):
Gd (0.0000, 0.0000, 0.0000)  4 Tm 3.31, 4 Pa 3.31
Tm (0.7500, 0.7500, 0.7500)  4 Gd 3.31, 4 Sc 3.31
Sc (0.5000, 0.5000, 0.5000)  4 Tm 3.31, 4 Pa 3.31
Pa (0.2500, 0.2500, 0.2500)  4 Gd 3.31, 4 Sc 3.31



No. 3
The following is a GGA-PBE calculation of crystalline CePrAl at its relaxed geometry, from Alexandria.

## Properties
Its formation enthalpy at 0 K is -0.19 eV per formula unit. The calculation puts the final energy at -4.882 eV/atom. For the excess energy over the best structure of this formula in the dataset, the calculation gives 140 meV/atom.

Lattice parameters (Å, degrees): 11.5122 11.5122 11.5122 21.25 21.25 21.25
Last column: nearest neighbours and their distance in Å.
Atoms (fractional coordinates):
Ce (0.1855, 0.1855, 0.1855)  3 Ce 2.76
Ce (0.8145, 0.8145, 0.8145)  3 Ce 2.76
Pr (0.0647, 0.0647, 0.0647)  6 Al 3.21-3.35
Pr (0.9353, 0.9353, 0.9353)  6 Al 3.21-3.35
Al (0.3301, 0.3301, 0.3301)  3 Al 2.46
Al (0.6699, 0.6699, 0.6699)  3 Al 2.46



No. 4
The following is a GGA-PBE calculation of crystalline LiLaPrS3 at its relaxed geometry, from Alexandria.

## Properties
The calculation puts the final energy at -5.876 eV/atom. The calculation puts the formation energy without anion corrections at -1876 meV per atom.

Lattice parameters (Å, degrees): 8.4609 3.9656 8.6378 90.00 101.45 90.00
Last column: nearest neighbours and their distance in Å.
Atoms (fractional coordinates):
Li (0.0864, 0.2500, 0.0845)  4 S 2.39-2.41
Li (0.9136, 0.7500, 0.9155)  4 S 2.39-2.41
La (0.1762, 0.2500, 0.7173)  7 S 2.91-3.07
La (0.8238, 0.7500, 0.2827)  7 S 2.91-3.07
Pr (0.3418, 0.7500, 0.3301)  6 S 2.86-2.93
Pr (0.6582, 0.2500, 0.6699)  6 S 2.86-2.93
S (0.0967, 0.2500, 0.3640)  1 Li 2.40
S (0.2007, 0.7500, 0.9927)  3 Li 2.39-2.41
S (0.4149, 0.7500, 0.6728)  3 Pr 2.86-2.90, 2 La 2.91
S (0.5851, 0.2500, 0.3272)  3 Pr 2.86-2.90, 2 La 2.91
S (0.7993, 0.2500, 0.0073)  3 Li 2.39-2.41
S (0.9033, 0.7500, 0.6360)  1 Li 2.40



No. 5
The following is a GGA-PBE calculation of crystalline TlRhBr2 at its relaxed geometry, from Alexandria.

## Properties
The calculation puts the final energy at -3.330 eV/atom. The calculation puts the formation energy without anion corrections at -64 meV per atom. For the excess energy over the best structure of this formula in the dataset, the calculation gives 234 meV/atom.

Lattice parameters (Å, degrees): 9.6806 9.6806 9.6806 22.58 22.58 22.58
Last column: nearest neighbours and their distance in Å.
Atoms (fractional coordinates):
Tl (0.0000, 0.0000, 0.0000)  2 Br 3.28
Rh (0.5000, 0.5000, 0.5000)  6 Br 2.62
Br (0.1159, 0.1159, 0.1159)  3 Rh 2.62
Br (0.8841, 0.8841, 0.8841)  3 Rh 2.62



No. 6
The following is a GGA-PBE calculation of crystalline K3Tm2GeO6 at its relaxed geometry, from Alexandria.

## Properties
The calculation puts the final energy at -6.135 eV/atom. The calculation puts the formation energy without anion corrections at -2251 meV per atom.

Lattice parameters (Å, degrees): 5.8382 5.8382 6.5144 98.55 98.55 120.01
Last column: nearest neighbours and their distance in Å.
Atoms (fractional coordinates):
K (0.0000, 0.0000, 0.0000)  6 O 2.76-2.80
K (0.3374, 0.6626, 0.0000)  6 O 2.73-2.82
K (0.6626, 0.3374, 0.0000)  6 O 2.73-2.82
Tm (0.1669, 0.8331, 0.5000)  6 O 2.27
Tm (0.8331, 0.1669, 0.5000)  6 O 2.27
Ge (0.5000, 0.5000, 0.5000)  6 O 2.22
O (0.1121, 0.4390, 0.3164)  1 Ge 2.22, 2 Tm 2.27
O (0.2343, 0.2343, 0.6825)  1 Ge 2.22, 2 Tm 2.27
O (0.4390, 0.1121, 0.3164)  1 Ge 2.22, 2 Tm 2.27
O (0.5610, 0.8879, 0.6836)  1 Ge 2.22, 2 Tm 2.27
O (0.7657, 0.7657, 0.3175)  1 Ge 2.22, 2 Tm 2.27
O (0.8879, 0.5610, 0.6836)  1 Ge 2.22, 2 Tm 2.27



No. 7
The following is a GGA-PBE calculation of crystalline ErAlRh2 at its relaxed geometry, from Alexandria.

## Properties
Its formation enthalpy at 0 K is -3.75 eV per formula unit. The calculation puts the final energy at -6.691 eV/atom.

Lattice parameters (Å, degrees): 5.5871 5.5871 4.5315 90.00 90.00 110.46
Last column: nearest neighbours and their distance in Å.
Atoms (fractional coordinates):
Er (0.1348, 0.8652, 0.7500)  8 Rh 2.74-2.85
Er (0.8652, 0.1348, 0.2500)  8 Rh 2.74-2.85
Al (0.3781, 0.6219, 0.2500)  8 Rh 2.65-2.94
Al (0.6219, 0.3781, 0.7500)  8 Rh 2.65-2.94
Rh (0.1493, 0.3807, 0.7500)  4 Al 2.65-2.94, 4 Er 2.74-2.85
Rh (0.3807, 0.1493, 0.2500)  4 Al 2.65-2.94, 4 Er 2.74-2.85
Rh (0.6193, 0.8507, 0.7500)  4 Al 2.65-2.94, 4 Er 2.74-2.85
Rh (0.8507, 0.6193, 0.2500)  4 Al 2.65-2.94, 4 Er 2.74-2.85